# NiAgN2

NiAgN2 after structural relaxation (GGA-PBE, Alexandria).

Mass density: 7.27 g/cm3
Raw formation energy: 0.820 eV per atom
Volume: 11.106 Å³ per atom
E above lowest polymorph: 0.0000 eV per atom
Fermi-level density of states: 3.954 states/eV per cell

Unit cell a=6.3945 b=6.3945 c=6.3945 alpha=26.05 beta=26.05 gamma=26.05
With the nearest neighbours (Å) after each atom.
Atoms (fractional coordinates):
1 Ni 0.0000 0.0000 0.0000  6 N 1.94
2 Ag 0.5000 0.5000 0.5000  2 N 2.10
3 N 0.3867 0.3867 0.3867  3 Ni 1.94, 1 Ag 2.10
4 N 0.6133 0.6133 0.6133  3 Ni 1.94, 1 Ag 2.10

---

# CrSb2Cl

CrSb2Cl after structural relaxation (GGA-PBE, Alexandria).

Mass density: 5.10 g/cm3
Raw formation energy: 0.056 eV per atom
Volume: 26.940 Å³ per atom
E above lowest polymorph: 0.1612 eV per atom
Fermi-level density of states: 3.670 states/eV per cell

Unit cell a=3.1190 b=3.1190 c=11.1429 alpha=90.00 beta=90.00 gamma=96.23
With the nearest neighbours (Å) after each atom.
Atoms (fractional coordinates):
1 Cr 0.0000 0.0000 0.0000  4 Cl 2.56-2.75
2 Sb 0.0000 0.0000 0.5012  4 Sb 3.12
3 Sb 0.5000 0.5000 0.1812  4 Cr 2.90-3.08, 4 Sb 3.12
4 Cl 0.5000 0.5000 0.8671  4 Cr 2.56-2.75

---

# Ba2SrTl

Ba2SrTl after structural relaxation (GGA-PBE, Alexandria).

Mass density: 4.49 g/cm3
Energy relative to the elements: -47 kJ/mol of formula units
Volume: 52.421 Å³ per atom
E above lowest polymorph: 0.0992 eV per atom
Fermi-level density of states: 4.560 states/eV per cell

Unit cell a=12.8608 b=12.8608 c=12.8608 alpha=19.62 beta=19.62 gamma=19.62
With the nearest neighbours (Å) after each atom.
Atoms (fractional coordinates):
1 Ba 0.0000 0.0000 0.0000  3 Tl 3.61
2 Ba 0.1976 0.1976 0.1976  3 Tl 3.60
3 Sr 0.4323 0.4323 0.4323  6 Sr 4.38, 6 Ba 4.51-4.52
4 Tl 0.5987 0.5987 0.5987  6 Ba 3.60-3.61

---

# GeCI2N

GeCI2N after structural relaxation (GGA-PBE, Alexandria).

Mass density: 4.76 g/cm3
Raw formation energy: 1.889 eV per atom
Volume: 24.603 Å³ per atom
E above lowest polymorph: 0.9115 eV per atom
Fermi-level density of states: 3.926 states/eV per cell

Unit cell a=5.9800 b=5.9800 c=3.4400 alpha=90.00 beta=90.00 gamma=90.00
With the nearest neighbours (Å) after each atom.
Atoms (fractional coordinates):
1 Ge 0.0000 0.0000 0.0000  2 N 1.72
2 C 0.5000 0.5000 0.5000  2 C 3.44, 8 I 3.45
3 I 0.0000 0.5000 0.0000  2 Ge 2.99
4 I 0.5000 0.0000 0.0000  2 Ge 2.99
5 N 0.0000 0.0000 0.5000  2 Ge 1.72

---

# HfPtN2

HfPtN2 after structural relaxation (GGA-PBE, Alexandria).

Mass density: 14.71 g/cm3
Raw formation energy: 0.239 eV per atom
Volume: 11.333 Å³ per atom
E above lowest polymorph: 0.7607 eV per atom
Fermi-level density of states: 5.018 states/eV per cell

Unit cell a=4.0023 b=4.0023 c=4.0023 alpha=60.00 beta=60.00 gamma=60.00
With the nearest neighbours (Å) after each atom.
Atoms (fractional coordinates):
1 Hf 0.0000 0.0000 0.0000  8 N 2.45
2 Pt 0.5000 0.5000 0.5000  8 N 2.45
3 N 0.2500 0.2500 0.2500  4 Hf 2.45, 4 Pt 2.45
4 N 0.7500 0.7500 0.7500  4 Hf 2.45, 4 Pt 2.45

---

# Pm5Er2In4

Pm5Er2In4 after structural relaxation (GGA-PBE, Alexandria).

Mass density: 7.89 g/cm3
Energy relative to the elements: -300 kJ/mol of formula units
Volume: 29.060 Å³ per atom
E above lowest polymorph: 0.0000 eV per atom
Fermi-level density of states: 12.699 states/eV per cell

Unit cell a=8.7564 b=3.4288 c=10.6961 alpha=90.00 beta=95.50 gamma=90.00
With the nearest neighbours (Å) after each atom.
Atoms (fractional coordinates):
1 Pm 0.0000 0.0000 0.0000  4 In 3.31, 6 Pm 3.43-3.56
2 Pm 0.0384 0.0000 0.3348  1 Er 3.31, 4 In 3.33-3.51, 4 Pm 3.43-3.66
3 Pm 0.3413 0.0000 0.8588  1 Er 3.31, 6 In 3.37-3.57, 3 Pm 3.43-3.48
4 Pm 0.6587 0.0000 0.1412  1 Er 3.31, 6 In 3.37-3.57, 3 Pm 3.43-3.48
5 Pm 0.9616 0.0000 0.6652  1 Er 3.31, 4 In 3.33-3.51, 4 Pm 3.43-3.66
6 Er 0.4183 0.0000 0.3618  6 In 3.15-3.32, 3 Er 3.16-3.43, 2 Pm 3.31
7 Er 0.5817 0.0000 0.6382  6 In 3.15-3.32, 3 Er 3.16-3.43, 2 Pm 3.31
8 In 0.2582 0.5000 0.5756  4 Er 3.28-3.32, 6 Pm 3.33-3.51, 2 In 3.43
9 In 0.2998 0.5000 0.1246  2 Er 3.15, 4 Pm 3.31-3.37, 2 In 3.43
10 In 0.7002 0.5000 0.8754  2 Er 3.15, 4 Pm 3.31-3.37, 2 In 3.43
11 In 0.7418 0.5000 0.4244  4 Er 3.28-3.32, 6 Pm 3.33-3.51, 2 In 3.43

---

# Ca2Cd12InAg3

Ca2Cd12InAg3 after structural relaxation (GGA-PBE, Alexandria).

Mass density: 7.15 g/cm3
Energy relative to the elements: -45 kJ/mol of formula units
Volume: 24.112 Å³ per atom
Fermi-level density of states: 7.924 states/eV per cell

Unit cell a=7.6088 b=7.6088 c=7.6088 alpha=84.13 beta=84.13 gamma=84.13
With the nearest neighbours (Å) after each atom.
Atoms (fractional coordinates):
1 Ca 0.2406 0.2406 0.2406  3 Ag 3.23, 6 Cd 3.30
2 Ca 0.7594 0.7594 0.7594  3 Ag 3.23, 6 Cd 3.30
3 Cd 0.0844 0.0844 0.6397  6 Cd 2.90-3.20
4 Cd 0.0844 0.6397 0.0844  6 Cd 2.90-3.20
5 Cd 0.1964 0.6984 0.6984  1 Ag 2.86, 5 Cd 2.90-3.09, 1 In 2.99
6 Cd 0.3016 0.3016 0.8036  1 Ag 2.86, 5 Cd 2.90-3.09, 1 In 2.99
7 Cd 0.3016 0.8036 0.3016  1 Ag 2.86, 5 Cd 2.90-3.09, 1 In 2.99
8 Cd 0.3603 0.9156 0.9156  6 Cd 2.90-3.20
9 Cd 0.6397 0.0844 0.0844  6 Cd 2.90-3.20
10 Cd 0.6984 0.1964 0.6984  1 Ag 2.86, 5 Cd 2.90-3.09, 1 In 2.99
11 Cd 0.6984 0.6984 0.1964  1 Ag 2.86, 5 Cd 2.90-3.09, 1 In 2.99
12 Cd 0.8036 0.3016 0.3016  1 Ag 2.86, 5 Cd 2.90-3.09, 1 In 2.99
13 Cd 0.9156 0.3603 0.9156  6 Cd 2.90-3.20
14 Cd 0.9156 0.9156 0.3603  6 Cd 2.90-3.20
15 In 0.5000 0.5000 0.5000  6 Cd 2.99
16 Ag 0.0000 0.5000 0.5000  2 Cd 2.86
17 Ag 0.5000 0.0000 0.5000  2 Cd 2.86
18 Ag 0.5000 0.5000 0.0000  2 Cd 2.86